--- a ---
Here is a relaxed structure of ReIrCl3 from the Alexandria database. Energies are from PBE-GGA.

Summary:
crystal system = cubic
space-group type = No. 221
density of states at the Fermi level = 2.870 states/eV per atom

a b c (Å): 4.757 4.757 4.757
angles (deg): 90.00 90.00 90.00
Fractional positions:
Re1 0.000 0.000 0.000
Ir1 0.500 0.500 0.500
Cl1 0.000 0.000 0.500
Cl2 0.000 0.500 0.000
Cl3 0.500 0.000 0.000



--- b ---
Here is a relaxed structure of ReIrCl3 from the Alexandria database. Energies are from PBE-GGA.

Summary:
crystal system = cubic
space-group type = No. 221
density of states at the Fermi level = 0.534 states/eV per atom

a b c (Å): 4.862 4.862 4.862
angles (deg): 90.00 90.00 90.00
Fractional positions:
Re1 0.000 0.000 0.000
Ir1 0.500 0.500 0.500
Cl1 0.000 0.500 0.500
Cl2 0.500 0.000 0.500
Cl3 0.500 0.500 0.000



The winner here is b, beating the second structure by 21.9 kJ/mol of atoms.